(1)
# GGA-PBE VGeBr2, optimized geometry
data_VGeBr2
_chemical_formula_sum 'V1 Ge1 Br2'
_space_group_name_H-M_alt 'P 1'
_space_group_IT_number 1
_cell_length_a 4.974
_cell_length_b 4.974
_cell_length_c 4.974
_cell_angle_alpha 60.00
_cell_angle_beta 60.00
_cell_angle_gamma 60.00
loop_
_space_group_symop_operation_xyz
'x,y,z'
loop_
_atom_site_label
_atom_site_type_symbol
_atom_site_fract_x
_atom_site_fract_y
_atom_site_fract_z
Ge1 Ge 0.500 0.500 0.500
Br1 Br 0.750 0.750 0.750
Br2 Br 0.250 0.250 0.250
V1 V 0.000 0.000 0.000
# V (Å³/f.u.): 87.0
# DFT total energy (eV per atom): -3.9023


(2)
# GGA-PBE VZnGe2Br, optimized geometry
data_VZnGe2Br
_chemical_formula_sum 'V1 Zn1 Ge2 Br1'
_space_group_name_H-M_alt 'P 1'
_space_group_IT_number 1
_cell_length_a 5.252
_cell_length_b 4.710
_cell_length_c 5.252
_cell_angle_alpha 90.00
_cell_angle_beta 90.00
_cell_angle_gamma 90.00
loop_
_space_group_symop_operation_xyz
'x,y,z'
loop_
_atom_site_label
_atom_site_type_symbol
_atom_site_fract_x
_atom_site_fract_y
_atom_site_fract_z
Br1 Br 0.000 0.000 0.000
Ge1 Ge 0.500 0.000 0.000
Ge2 Ge 0.000 0.000 0.500
Zn1 Zn 0.500 0.500 0.500
V1 V 0.000 0.500 0.000
# V (Å³/f.u.): 129.9
# DFT total energy (eV per atom): -3.1655


(3)
# GGA-PBE ZrVGeBr2, optimized geometry
data_ZrVGeBr2
_chemical_formula_sum 'Zr1 V1 Ge1 Br2'
_space_group_name_H-M_alt 'P 1'
_space_group_IT_number 1
_cell_length_a 5.140
_cell_length_b 5.608
_cell_length_c 5.140
_cell_angle_alpha 90.00
_cell_angle_beta 90.00
_cell_angle_gamma 90.00
loop_
_space_group_symop_operation_xyz
'x,y,z'
loop_
_atom_site_label
_atom_site_type_symbol
_atom_site_fract_x
_atom_site_fract_y
_atom_site_fract_z
V1 V 0.000 0.500 0.000
Zr1 Zr 0.000 0.000 0.000
Br1 Br 0.000 0.000 0.500
Br2 Br 0.500 0.000 0.000
Ge1 Ge 0.500 0.500 0.500
# V (Å³/f.u.): 148.2
# DFT total energy (eV per atom): -4.5132


(4)
# GGA-PBE GeWBr3, optimized geometry
data_GeWBr3
_chemical_formula_sum 'Ge1 W1 Br3'
_space_group_name_H-M_alt 'P 1'
_space_group_IT_number 1
_cell_length_a 5.386
_cell_length_b 5.386
_cell_length_c 5.386
_cell_angle_alpha 90.00
_cell_angle_beta 90.00
_cell_angle_gamma 90.00
loop_
_space_group_symop_operation_xyz
'x,y,z'
loop_
_atom_site_label
_atom_site_type_symbol
_atom_site_fract_x
_atom_site_fract_y
_atom_site_fract_z
Br1 Br 0.000 0.000 0.500
Br2 Br 0.000 0.500 0.000
Br3 Br 0.500 0.000 0.000
W1 W 0.500 0.500 0.500
Ge1 Ge 0.000 0.000 0.000
# V (Å³/f.u.): 156.3
# DFT total energy (eV per atom): -3.4967


Number 1: uncorrected formation energy 1.47 eV/f.u.. Number 2: uncorrected formation energy 5.47 eV/f.u.. Number 3: uncorrected formation energy 3.06 eV/f.u.. Number 4: uncorrected formation energy 5.11 eV/f.u..